## CaPuNiRh (PBE)

Data for crystalline CaPuNiRh at its relaxed geometry.

Lattice parameters (Å, degrees): 4.8233 4.8233 4.8233 60.00 60.00 60.00
Atoms (fractional coordinates):
Ca1 0.0000 0.0000 0.0000
Pu1 0.5000 0.5000 0.5000
Ni1 0.2500 0.2500 0.2500
Rh1 0.7500 0.7500 0.7500

Values from the calculation:
Formation enthalpy at 0 K: -171 meV/atom
Symmetry: F-43m, No. 216

## Ca3Pu3NiS8 (PBE)

Data for crystalline Ca3Pu3NiS8 at its relaxed geometry.

Lattice parameters (Å, degrees): 7.9721 7.9721 7.9721 58.90 58.90 58.90
Atoms (fractional coordinates):
Ca1 0.0000 0.5000 0.5000
Ca2 0.5000 0.0000 0.5000
Ca3 0.5000 0.5000 0.0000
Pu1 0.0000 0.0000 0.5000
Pu2 0.0000 0.5000 0.0000
Pu3 0.5000 0.0000 0.0000
Ni1 0.5000 0.5000 0.5000
S1 0.2488 0.2488 0.2488
S2 0.2617 0.7320 0.7320
S3 0.2680 0.2680 0.7383
S4 0.2680 0.7383 0.2680
S5 0.7320 0.2617 0.7320
S6 0.7320 0.7320 0.2617
S7 0.7383 0.2680 0.2680
S8 0.7512 0.7512 0.7512

Values from the calculation:
Formation energy from raw total energies: -1.586 eV/atom
Symmetry: R-3m, No. 166

## RbCaNi2 (PBE)

Data for crystalline RbCaNi2 at its relaxed geometry.

Lattice parameters (Å, degrees): 5.1602 5.1602 5.1602 60.00 60.00 60.00
Atoms (fractional coordinates):
Rb1 0.0000 0.0000 0.0000
Ca1 0.5000 0.5000 0.5000
Ni1 0.2500 0.2500 0.2500
Ni2 0.7500 0.7500 0.7500

Values from the calculation:
Formation enthalpy at 0 K: 744 meV/atom
Symmetry: Fm-3m, No. 225
E above lowest polymorph: 8.1 kJ per mole of atoms

## RbCa2Ni2 (PBE)

Data for crystalline RbCa2Ni2 at its relaxed geometry.

Lattice parameters (Å, degrees): 8.3124 8.3124 3.9552 90.00 90.00 90.00
Atoms (fractional coordinates):
Rb1 0.0000 0.0000 0.0000
Rb2 0.5000 0.5000 0.0000
Ca1 0.1511 0.3489 0.5000
Ca2 0.3489 0.8489 0.5000
Ca3 0.6511 0.1511 0.5000
Ca4 0.8489 0.6511 0.5000
Ni1 0.1026 0.6026 0.0000
Ni2 0.3974 0.1026 0.0000
Ni3 0.6026 0.8974 0.0000
Ni4 0.8974 0.3974 0.0000

Values from the calculation:
Formation enthalpy at 0 K: 250 meV/atom
Symmetry: P4/mbm, No. 127
E above lowest polymorph: 0.0 kJ per mole of atoms

## RbCa3Ni (PBE)

Data for crystalline RbCa3Ni at its relaxed geometry.

Lattice parameters (Å, degrees): 6.2927 6.2927 6.2927 90.00 90.00 90.00
Atoms (fractional coordinates):
Rb1 0.0000 0.0000 0.0000
Ca1 0.0000 0.0000 0.5000
Ca2 0.0000 0.5000 0.0000
Ca3 0.5000 0.0000 0.0000
Ni1 0.5000 0.5000 0.5000

Values from the calculation:
Formation enthalpy at 0 K: 1601 meV/atom
Symmetry: Pm-3m, No. 221
E above lowest polymorph: 148.6 kJ per mole of atoms

## RbCa2Ni2 (PBE)

Data for crystalline RbCa2Ni2 at its relaxed geometry.

Lattice parameters (Å, degrees): 7.0688 7.0688 7.0688 136.87 136.87 62.64
Atoms (fractional coordinates):
Rb1 0.0000 0.0000 0.0000
Ca1 0.3217 0.3217 0.0000
Ca2 0.6783 0.6783 0.0000
Ni1 0.2500 0.7500 0.5000
Ni2 0.7500 0.2500 0.5000

Values from the calculation:
Formation enthalpy at 0 K: 381 meV/atom
Symmetry: I4/mmm, No. 139
E above lowest polymorph: 12.7 kJ per mole of atoms